# 1
AlGa4Tc2 PBE-GGA optimized geometry; magnetization = 3.43 μB/f.u.; total DFT energy (no corrections) = -4.4814 eV per atom; space group = I4/mmm, No. 139; calculated formation energy = 745 meV/atom
1.0
-4.554 -0.241 -1.545
0.793 -4.457 -1.642
-3.665 -4.742 4.039
Ga Tc Al
4 2 1
direct
0.202 0.202 0.595
0.798 0.798 0.405
0.500 0.000 0.000
0.000 0.500 0.000
0.597 0.597 0.807
0.403 0.403 0.193
0.000 0.000 0.000

=====

# 2
Ac2PrCu6 PBE-GGA optimized geometry; magnetization = 0.00 μB/f.u.; total DFT energy (no corrections) = -4.3727 eV per atom; space group = P6/mmm, No. 191; calculated formation energy = -198 meV/atom
1.0
-0.615 3.929 -0.256
-4.565 -0.321 6.024
7.408 1.220 0.928
Pr Cu Ac
1 6 2
direct
0.000 0.000 0.000
0.500 0.331 0.000
0.500 0.000 0.331
0.500 0.000 0.669
0.500 0.331 0.331
0.500 0.669 0.000
0.500 0.669 0.669
0.000 0.667 0.333
0.000 0.333 0.667

=====

# 3
HgMo6Cl14 PBE-GGA optimized geometry; magnetization = 0.00 μB/f.u.; total DFT energy (no corrections) = -5.2357 eV per atom; space group = Pn-3, No. 201; formation energy (no corrections) = -0.896 eV per atom
1.0
13.073 0.000 0.000
0.000 13.073 0.000
0.000 0.000 13.073
Cl Mo Hg
56 24 4
direct
0.313 0.828 0.066
0.069 0.174 0.374
0.115 0.115 0.115
0.069 0.826 0.626
0.687 0.172 0.066
0.434 0.813 0.328
0.687 0.828 0.934
0.431 0.326 0.126
0.566 0.187 0.328
0.813 0.328 0.434
0.187 0.328 0.566
0.566 0.813 0.672
0.826 0.626 0.069
0.826 0.374 0.931
0.174 0.626 0.931
0.885 0.885 0.115
0.672 0.566 0.813
0.874 0.569 0.326
0.874 0.431 0.674
0.626 0.069 0.826
0.326 0.874 0.569
0.313 0.172 0.934
0.374 0.931 0.826
0.385 0.385 0.385
0.172 0.934 0.313
0.431 0.674 0.874
0.434 0.187 0.672
0.931 0.826 0.374
0.172 0.066 0.687
0.674 0.126 0.569
0.174 0.374 0.069
0.374 0.069 0.174
0.828 0.934 0.687
0.626 0.931 0.174
0.569 0.326 0.874
0.328 0.434 0.813
0.931 0.174 0.626
0.115 0.885 0.885
0.187 0.672 0.434
0.126 0.431 0.326
0.885 0.115 0.885
0.066 0.687 0.172
0.066 0.313 0.828
0.672 0.434 0.187
0.615 0.385 0.615
0.934 0.687 0.828
0.385 0.615 0.615
0.569 0.674 0.126
0.674 0.874 0.431
0.828 0.066 0.313
0.934 0.313 0.172
0.615 0.615 0.385
0.328 0.566 0.187
0.326 0.126 0.431
0.126 0.569 0.674
0.813 0.672 0.566
0.720 0.387 0.775
0.720 0.613 0.225
0.225 0.280 0.387
0.280 0.613 0.775
0.113 0.725 0.780
0.613 0.775 0.280
0.275 0.780 0.887
0.780 0.113 0.725
0.887 0.275 0.780
0.225 0.720 0.613
0.613 0.225 0.720
0.780 0.887 0.275
0.725 0.780 0.113
0.775 0.280 0.613
0.887 0.725 0.220
0.113 0.275 0.220
0.275 0.220 0.113
0.387 0.775 0.720
0.387 0.225 0.280
0.280 0.387 0.225
0.725 0.220 0.887
0.220 0.113 0.275
0.775 0.720 0.387
0.220 0.887 0.725
0.250 0.750 0.250
0.250 0.250 0.750
0.750 0.750 0.750
0.750 0.250 0.250

=====

# 4
SmPO4 PBE-GGA optimized geometry; magnetization = 0.00 μB/f.u.; total DFT energy (no corrections) = -7.9865 eV per atom; space group = P3_221, No. 154; formation energy (no corrections) = -2.993 eV per atom
1.0
3.541 -6.133 0.000
3.541 6.133 0.000
0.000 0.000 6.351
Sm O P
3 12 3
direct
0.501 0.000 0.667
0.000 0.501 0.333
0.499 0.499 0.000
0.553 0.692 0.650
0.444 0.306 0.651
0.308 0.862 0.317
0.862 0.308 0.683
0.306 0.444 0.349
0.138 0.447 0.984
0.447 0.138 0.016
0.862 0.556 0.984
0.694 0.138 0.317
0.556 0.862 0.016
0.138 0.694 0.683
0.692 0.553 0.350
0.499 0.499 0.500
0.000 0.501 0.833
0.501 0.000 0.167

=====

# 5
YTmNiHg PBE-GGA optimized geometry; magnetization = 0.00 μB/f.u.; total DFT energy (no corrections) = -4.6288 eV per atom; space group = F-43m, No. 216; calculated formation energy = -374 meV/atom
1.0
5.021 0.000 0.000
2.511 4.349 0.000
2.511 1.450 4.100
Hg Tm Ni Y
1 1 1 1
direct
0.500 0.500 0.500
0.250 0.250 0.250
0.000 0.000 0.000
0.750 0.750 0.750

=====

# 6
Pm3Nd5Y3 PBE-GGA optimized geometry; magnetization = 0.00 μB/f.u.; total DFT energy (no corrections) = -4.9063 eV per atom; space group = P-62m, No. 189; calculated formation energy = 319 meV/atom; energy relative to the lowest polymorph listed for this composition = 0.0 kJ per mole of atoms
1.0
3.478 0.000 0.000
0.000 9.889 -5.709
0.000 0.000 11.418
Nd Y Pm
5 3 3
direct
0.500 0.333 0.667
0.500 0.661 0.661
0.500 0.000 0.339
0.500 0.339 0.000
0.500 0.667 0.333
0.500 0.000 0.839
0.500 0.839 0.000
0.500 0.161 0.161
0.000 0.000 0.595
0.000 0.595 0.000
0.000 0.405 0.405

=====

# 7
K2Au PBE-GGA optimized geometry; magnetization = 0.00 μB/f.u.; total DFT energy (no corrections) = -1.9977 eV per atom; space group = Pnnm, No. 58; calculated formation energy = -174 meV/atom
1.0
4.385 0.000 0.000
0.000 7.989 0.000
0.000 0.000 8.309
Au K
2 4
direct
0.000 0.000 0.000
0.500 0.500 0.500
0.500 0.740 0.832
0.000 0.240 0.668
0.000 0.760 0.332
0.500 0.260 0.168

=====

# 8
Ba2TlInRh PBE-GGA optimized geometry; magnetization = 0.35 μB/f.u.; total DFT energy (no corrections) = -3.4529 eV per atom; space group = P4/mmm, No. 123; calculated formation energy = -193 meV/atom; energy relative to the lowest polymorph listed for this composition = 7.1 kJ per mole of atoms
1.0
-0.252 -4.520 3.912
5.652 -1.454 -1.316
1.726 3.230 3.843
Ba Tl In Rh
2 1 1 1
direct
0.500 0.000 0.000
0.000 0.500 0.000
0.000 0.000 0.500
0.500 0.500 0.500
0.000 0.000 0.000

=====

# 9
BaZr3Te PBE-GGA optimized geometry; magnetization = 0.62 μB/f.u.; total DFT energy (no corrections) = -4.5439 eV per atom; space group = Pm-3m, No. 221; formation energy (no corrections) = 1.598 eV per atom; energy relative to the lowest polymorph listed for this composition = 114.5 kJ per mole of atoms
1.0
5.327 0.000 0.000
0.000 5.327 0.000
0.000 0.000 5.327
Ba Zr Te
1 3 1
direct
0.000 0.000 0.000
0.000 0.500 0.000
0.000 0.000 0.500
0.500 0.000 0.000
0.500 0.500 0.500

=====

# 10
NaAcRh2 PBE-GGA optimized geometry; magnetization = 0.00 μB/f.u.; total DFT energy (no corrections) = -5.1542 eV per atom; space group = P4/mmm, No. 123; calculated formation energy = -122 meV/atom
1.0
-1.008 2.882 2.591
-3.635 -2.420 1.279
2.486 -2.030 3.226
Rh Na Ac
2 1 1
direct
0.000 0.500 0.000
0.000 0.000 0.500
0.500 0.500 0.500
0.500 0.000 0.000

=====

# 11
TiIr3F PBE-GGA optimized geometry; magnetization = 0.00 μB/f.u.; total DFT energy (no corrections) = -6.4981 eV per atom; space group = Pm-3m, No. 221; formation energy (no corrections) = 0.772 eV per atom; energy relative to the lowest polymorph listed for this composition = 0.0 kJ per mole of atoms
1.0
-0.030 -0.017 -4.239
4.231 -0.260 -0.029
-0.260 -4.231 0.019
F Ir Ti
1 3 1
direct
0.000 0.000 0.000
0.000 0.500 0.000
0.500 0.000 0.000
0.000 0.000 0.500
0.500 0.500 0.500

=====

# 12
AcCuSb2 PBE-GGA optimized geometry; magnetization = 0.00 μB/f.u.; total DFT energy (no corrections) = -4.3017 eV per atom; space group = P4/mmm, No. 123; formation energy (no corrections) = -0.189 eV per atom; energy relative to the lowest polymorph listed for this composition = 47.8 kJ per mole of atoms
1.0
-0.517 2.939 -2.483
1.034 -2.307 -2.946
-6.734 -1.915 -0.863
Ac Sb Cu
1 2 1
direct
0.500 0.500 0.500
0.000 0.000 0.801
0.000 0.000 0.199
0.500 0.500 0.000

=====

# 13
NaTb2Pd PBE-GGA optimized geometry; magnetization = 0.00 μB/f.u.; total DFT energy (no corrections) = -4.1181 eV per atom; space group = R-3m, No. 166; calculated formation energy = -175 meV/atom; energy relative to the lowest polymorph listed for this composition = 12.1 kJ per mole of atoms
1.0
-0.490 -1.023 -3.904
2.091 -3.117 -1.563
-7.166 -7.882 0.846
Tb Pd Na
2 1 1
direct
0.881 0.881 0.356
0.119 0.119 0.644
0.500 0.500 0.500
0.000 0.000 0.000

=====

# 14
LiMnFe2 PBE-GGA optimized geometry; magnetization = 4.73 μB/f.u.; total DFT energy (no corrections) = -6.7432 eV per atom; space group = P2/m, No. 10; calculated formation energy = 259 meV/atom; energy relative to the lowest polymorph listed for this composition = 5.2 kJ per mole of atoms
1.0
4.003 0.000 0.000
0.000 2.366 -0.002
0.000 0.863 4.719
Li Fe Mn
1 2 1
direct
0.500 0.250 0.250
0.000 0.019 0.994
0.000 0.481 0.506
0.500 0.750 0.750